Zr4IrOs2: relaxed, PBE.

abc: 4.6194 4.6194 22.4181
angles: 90.00 90.00 120.00
With the nearest neighbours (Å) after each atom.
Space group R-3m (No. 166, hexagonal axes)
Inequivalent atoms, fractional coordinates:
Zr 0.0000 0.0000 0.1212 (multiplicity 6)  4 Os 2.79-2.86, 3 Ir 2.86
Zr 0.0000 0.0000 0.3715 (multiplicity 6)  4 Os 2.75-2.86, 1 Ir 2.88
Ir 0.0000 0.0000 0.5000 (multiplicity 3)  8 Zr 2.86-2.88
Os 0.0000 0.0000 0.2488 (multiplicity 6)  8 Zr 2.75-2.86

Magnetization: 0.00 μB/f.u.
DFT formation energy: -3.7 eV per formula unit
Calculated volume: 19.7 Å³/atom
Crystal system: trigonal